No. 1
A plane-wave DFT calculation with PBE-GGA was carried out for crystalline Nd3Tm12Tl at its relaxed geometry.

Cell lengths 4.9350, 4.9350, 19.9709 Å; angles 90.00, 90.00, 90.00 degrees
Closest atoms and distances in Å follow each position.
Atoms (fractional coordinates):
Nd 0.0000 0.0000 0.2485  12 Tm 3.49-3.55
Tl 0.0000 0.0000 0.0000  12 Tm 3.45-3.49
Nd 0.0000 0.0000 0.7515  12 Tm 3.49-3.55
Tm 0.5000 0.5000 0.2428  8 Tm 3.47-3.59, 4 Nd 3.49
Tm 0.5000 0.5000 0.5000  4 Nd 3.49, 8 Tm 3.53
Tm 0.5000 0.0000 0.6267  8 Tm 3.49-3.59, 4 Nd 3.51-3.53
Tm 0.5000 0.0000 0.3733  8 Tm 3.49-3.59, 4 Nd 3.51-3.53
Tm 0.0000 0.5000 0.1205  2 Tl 3.45, 8 Tm 3.45-3.49, 2 Nd 3.55
Tm 0.5000 0.5000 0.0000  8 Tm 3.45, 4 Tl 3.49
Tm 0.0000 0.5000 0.3733  8 Tm 3.49-3.59, 4 Nd 3.51-3.53
Tm 0.0000 0.5000 0.6267  8 Tm 3.49-3.59, 4 Nd 3.51-3.53
Tm 0.5000 0.5000 0.7572  8 Tm 3.47-3.59, 4 Nd 3.49
Nd 0.0000 0.0000 0.5000  12 Tm 3.49-3.53
Tm 0.5000 0.0000 0.1205  2 Tl 3.45, 8 Tm 3.45-3.49, 2 Nd 3.55
Tm 0.0000 0.5000 0.8795  2 Tl 3.45, 8 Tm 3.45-3.49, 2 Nd 3.55
Tm 0.5000 0.0000 0.8795  2 Tl 3.45, 8 Tm 3.45-3.49, 2 Nd 3.55

Output
total magnetic moment = 0.00 μB per formula unit
energy relative to the elements = -0.013 eV/atom
final energy = -4.41 eV/atom

---

No. 2
A plane-wave DFT calculation with PBE-GGA was carried out for crystalline Nd3Tm4Tl at its relaxed geometry.

Cell lengths 6.2161, 7.0843, 11.2450 Å; angles 90.00, 90.00, 90.00 degrees
Closest atoms and distances in Å follow each position.
Atoms (fractional coordinates):
Tm 0.9866 0.1211 0.2416  1 Tl 3.35, 6 Tm 3.38-3.56, 5 Nd 3.51-3.69
Tm 0.1484 0.8734 0.5000  6 Tm 3.44-3.64, 2 Tl 3.46-3.54, 4 Nd 3.53-3.65
Tl 0.1555 0.3543 0.0000  5 Tm 3.32-3.54, 5 Nd 3.42-3.59
Nd 0.9756 0.6163 0.2349  2 Tl 3.42-3.59, 4 Nd 3.44-3.57, 6 Tm 3.47-3.69
Tm 0.4866 0.8789 0.2584  1 Tl 3.35, 6 Tm 3.38-3.56, 5 Nd 3.51-3.69
Tm 0.1653 0.8856 0.0000  1 Tl 3.32, 3 Nd 3.37-3.47, 6 Tm 3.38-3.64
Tm 0.9866 0.1211 0.7584  1 Tl 3.35, 6 Tm 3.38-3.56, 5 Nd 3.51-3.69
Nd 0.4756 0.3837 0.7349  2 Tl 3.42-3.59, 4 Nd 3.44-3.57, 6 Tm 3.47-3.69
Nd 0.1217 0.3712 0.5000  5 Tm 3.37-3.56, 4 Nd 3.44-3.57, 1 Tl 3.49
Nd 0.6217 0.6288 0.0000  5 Tm 3.37-3.56, 4 Nd 3.44-3.57, 1 Tl 3.49
Tm 0.6484 0.1266 0.0000  6 Tm 3.44-3.64, 2 Tl 3.46-3.54, 4 Nd 3.53-3.65
Nd 0.9756 0.6163 0.7651  2 Tl 3.42-3.59, 4 Nd 3.44-3.57, 6 Tm 3.47-3.69
Nd 0.4756 0.3837 0.2651  2 Tl 3.42-3.59, 4 Nd 3.44-3.57, 6 Tm 3.47-3.69
Tm 0.6653 0.1144 0.5000  1 Tl 3.32, 3 Nd 3.37-3.47, 6 Tm 3.38-3.64
Tm 0.4866 0.8789 0.7416  1 Tl 3.35, 6 Tm 3.38-3.56, 5 Nd 3.51-3.69
Tl 0.6555 0.6457 0.5000  5 Tm 3.32-3.54, 5 Nd 3.42-3.59

Output
total magnetic moment = 0.00 μB per formula unit
energy relative to the lowest polymorph listed for this composition = 0 meV/atom
energy relative to the elements = -0.077 eV/atom
final energy = -4.40 eV/atom

---

No. 3
A plane-wave DFT calculation with PBE-GGA was carried out for crystalline Nd12Tm2Tl at its relaxed geometry.

Cell lengths 6.8516, 6.8516, 24.6434 Å; angles 90.00, 90.00, 115.57 degrees
Closest atoms and distances in Å follow each position.
Atoms (fractional coordinates):
Nd 0.7518 0.2518 0.1241  8 Nd 3.39-3.68, 2 Tl 3.55-3.58
Nd 0.0000 0.0000 0.6776  3 Nd 3.12-3.42
Nd 0.7763 0.7237 0.4391  5 Nd 3.06-3.42
Tm 0.0000 0.5000 0.7384  2 Tm 3.65, 12 Nd 3.74-4.05
Nd 0.5000 0.5000 0.8043  3 Nd 3.12-3.39
Nd 0.7292 0.2292 0.4112  7 Nd 3.33-3.68
Nd 0.0000 0.0000 0.8043  3 Nd 3.12-3.39
Tl 0.0000 0.5000 0.0004  8 Nd 3.38-3.58, 2 Tl 3.65
Nd 0.2515 0.2485 0.0716  2 Tl 3.38-3.40, 9 Nd 3.53-3.67
Nd 0.2482 0.7482 0.1241  8 Nd 3.39-3.68, 2 Tl 3.55-3.58
Tm 0.5000 0.0000 0.2616  2 Tm 3.65, 12 Nd 3.74-4.05
Nd 0.2292 0.7292 0.5888  7 Nd 3.33-3.68
Nd 0.7515 0.7485 0.9284  2 Tl 3.38-3.40, 9 Nd 3.53-3.67
Nd 0.7708 0.2708 0.5888  7 Nd 3.33-3.68
Nd 0.5000 0.5000 0.3224  3 Nd 3.12-3.42
Nd 0.2763 0.2237 0.5609  5 Nd 3.06-3.42
Tm 0.0000 0.5000 0.2651  2 Tm 3.65, 10 Nd 3.71-3.92
Nd 0.7237 0.7763 0.5609  5 Nd 3.06-3.42
Tm 0.5000 0.0000 0.7349  2 Tm 3.65, 10 Nd 3.71-3.92
Nd 0.0000 0.0000 0.3224  3 Nd 3.12-3.42
Nd 0.5000 0.5000 0.1957  3 Nd 3.12-3.39
Nd 0.5000 0.5000 0.6776  3 Nd 3.12-3.42
Nd 0.2485 0.2515 0.9284  2 Tl 3.38-3.40, 9 Nd 3.53-3.67
Nd 0.2518 0.7518 0.8759  8 Nd 3.39-3.68, 2 Tl 3.55-3.58
Nd 0.7485 0.7515 0.0716  2 Tl 3.38-3.40, 9 Nd 3.53-3.67
Nd 0.2708 0.7708 0.4112  7 Nd 3.33-3.68
Nd 0.0000 0.0000 0.1957  3 Nd 3.12-3.39
Nd 0.2237 0.2763 0.4391  5 Nd 3.06-3.42
Tl 0.5000 0.0000 0.9996  8 Nd 3.38-3.58, 2 Tl 3.65
Nd 0.7482 0.2482 0.8759  8 Nd 3.39-3.68, 2 Tl 3.55-3.58

Output
total magnetic moment = 0.00 μB per formula unit
energy relative to the elements = 0.108 eV/atom
final energy = -4.46 eV/atom

---

No. 4
A plane-wave DFT calculation with PBE-GGA was carried out for crystalline Nd5Tm2Tl at its relaxed geometry.

Cell lengths 3.4869, 11.3940, 8.8418 Å; angles 130.12, 101.37, 90.00 degrees
Closest atoms and distances in Å follow each position.
Atoms (fractional coordinates):
Tm 0.7298 0.2298 0.4595  7 Nd 3.31-3.65, 2 Tl 3.47, 2 Tm 3.49
Nd 0.3686 0.1360 0.7372  3 Tm 3.31-3.65, 7 Nd 3.43-3.61
Nd 0.6314 0.3988 0.2628  3 Tm 3.31-3.65, 7 Nd 3.43-3.61
Tm 0.2702 0.7702 0.5405  7 Nd 3.31-3.65, 2 Tl 3.47, 2 Tm 3.49
Nd 0.0000 0.5000 0.0000  10 Nd 3.49-3.61, 2 Tm 3.53
Nd 0.6314 0.8640 0.2628  3 Tm 3.31-3.65, 7 Nd 3.43-3.61
Tl 0.0000 0.0000 0.0000  4 Tm 3.47, 2 Tl 3.49
Nd 0.3686 0.6012 0.7372  3 Tm 3.31-3.65, 7 Nd 3.43-3.61

Output
total magnetic moment = 0.00 μB per formula unit
energy relative to the elements = 0.000 eV/atom
final energy = -4.39 eV/atom

---

No. 5
A plane-wave DFT calculation with PBE-GGA was carried out for crystalline Nd2TmTl9 at its relaxed geometry.

Cell lengths 4.8072, 4.8072, 14.4156 Å; angles 90.00, 90.00, 90.00 degrees
Closest atoms and distances in Å follow each position.
Atoms (fractional coordinates):
Tl 0.0000 0.5000 0.8376  2 Tm 3.35, 8 Tl 3.35-3.43, 2 Nd 3.43
Tl 0.0000 0.5000 0.5000  8 Tl 3.40-3.41, 4 Nd 3.41
Tl 0.0000 0.5000 0.1624  2 Tm 3.35, 8 Tl 3.35-3.43, 2 Nd 3.43
Tl 0.5000 0.5000 0.6679  4 Nd 3.40, 8 Tl 3.41-3.43
Tl 0.5000 0.5000 0.0000  8 Tl 3.35, 4 Tm 3.40
Tl 0.5000 0.0000 0.8376  8 Tl 3.35-3.43, 2 Tm 3.35, 2 Nd 3.43
Tl 0.5000 0.0000 0.5000  8 Tl 3.40-3.41, 4 Nd 3.41
Nd 0.0000 0.0000 0.6681  12 Tl 3.40-3.43
Tm 0.0000 0.0000 0.0000  12 Tl 3.35-3.40
Tl 0.5000 0.5000 0.3321  4 Nd 3.40, 8 Tl 3.41-3.43
Nd 0.0000 0.0000 0.3319  12 Tl 3.40-3.43
Tl 0.5000 0.0000 0.1624  8 Tl 3.35-3.43, 2 Tm 3.35, 2 Nd 3.43

Output
total magnetic moment = 0.00 μB per formula unit
energy relative to the elements = -0.272 eV/atom
final energy = -3.21 eV/atom

---

No. 6
A plane-wave DFT calculation with PBE-GGA was carried out for crystalline Nd3Tm4Tl at its relaxed geometry.

Cell lengths 4.1028, 4.1028, 14.6955 Å; angles 90.00, 90.00, 90.00 degrees
Closest atoms and distances in Å follow each position.
Atoms (fractional coordinates):
Tl 0.5000 0.5000 0.0000  8 Tm 3.32, 2 Nd 3.62
Nd 0.5000 0.5000 0.5000  8 Tm 3.48, 2 Nd 3.73
Nd 0.5000 0.5000 0.7539  8 Tm 3.41-3.52, 1 Tl 3.62, 1 Nd 3.73
Nd 0.5000 0.5000 0.2461  8 Tm 3.41-3.52, 1 Tl 3.62, 1 Nd 3.73
Tm 0.0000 0.0000 0.1102  1 Tm 3.24, 4 Tl 3.32, 4 Nd 3.52
Tm 0.0000 0.0000 0.6313  8 Nd 3.41-3.48, 1 Tm 3.80
Tm 0.0000 0.0000 0.8898  1 Tm 3.24, 4 Tl 3.32, 4 Nd 3.52
Tm 0.0000 0.0000 0.3687  8 Nd 3.41-3.48, 1 Tm 3.80

Output
total magnetic moment = 0.00 μB per formula unit
energy relative to the lowest polymorph listed for this composition = 97 meV/atom
energy relative to the elements = 0.020 eV/atom
final energy = -4.30 eV/atom

---

No. 7
A plane-wave DFT calculation with PBE-GGA was carried out for crystalline Nd3Tm6Tl at its relaxed geometry.

Cell lengths 3.4937, 12.7865, 14.2099 Å; angles 100.91, 90.00, 90.00 degrees
Closest atoms and distances in Å follow each position.
Atoms (fractional coordinates):
Tm 0.2500 0.1911 0.9211  5 Nd 3.37-3.63, 5 Tm 3.49-3.56, 2 Tl 3.60
Nd 0.2500 0.9242 0.8993  6 Tm 3.37-3.63, 4 Nd 3.49-3.59, 2 Tl 3.60
Tm 0.2500 0.6575 0.8806  4 Nd 3.37-3.54, 8 Tm 3.49-3.58
Tm 0.7500 0.1111 0.4637  2 Tl 3.40, 8 Tm 3.49-3.77, 2 Nd 3.67
Nd 0.2500 0.5779 0.0977  6 Tm 3.29-3.54, 4 Nd 3.49-3.56
Tm 0.7500 0.7758 0.7160  3 Nd 3.18-3.40, 1 Tl 3.32, 4 Tm 3.49
Tm 0.7500 0.8089 0.0789  5 Nd 3.37-3.63, 5 Tm 3.49-3.56, 2 Tl 3.60
Tm 0.2500 0.5105 0.3098  4 Nd 3.29-3.46, 7 Tm 3.49-3.61
Nd 0.7500 0.6328 0.5068  5 Tm 3.18-3.46, 2 Nd 3.49
Tm 0.7500 0.3425 0.1194  4 Nd 3.37-3.54, 8 Tm 3.49-3.58
Tl 0.7500 0.0367 0.7201  7 Tm 3.31-3.60, 2 Tl 3.49, 2 Nd 3.60
Nd 0.7500 0.4221 0.9023  6 Tm 3.29-3.54, 4 Nd 3.49-3.56
Nd 0.7500 0.0758 0.1007  6 Tm 3.37-3.63, 4 Nd 3.49-3.59, 2 Tl 3.60
Tm 0.2500 0.2242 0.2840  3 Nd 3.18-3.40, 1 Tl 3.32, 4 Tm 3.49
Tm 0.2500 0.2468 0.6887  2 Tl 3.31, 1 Nd 3.42, 5 Tm 3.49-3.56
Nd 0.2500 0.3672 0.4932  5 Tm 3.18-3.46, 2 Nd 3.49
Tm 0.7500 0.4895 0.6902  4 Nd 3.29-3.46, 7 Tm 3.49-3.61
Tl 0.2500 0.9633 0.2799  7 Tm 3.31-3.60, 2 Tl 3.49, 2 Nd 3.60
Tm 0.7500 0.7532 0.3113  2 Tl 3.31, 1 Nd 3.42, 5 Tm 3.49-3.56
Tm 0.2500 0.8889 0.5363  2 Tl 3.40, 8 Tm 3.49-3.77, 2 Nd 3.67

Output
total magnetic moment = 0.00 μB per formula unit
energy relative to the lowest polymorph listed for this composition = 28 meV/atom
energy relative to the elements = 0.028 eV/atom
final energy = -4.32 eV/atom

---

No. 8
A plane-wave DFT calculation with PBE-GGA was carried out for crystalline Nd3TmTl4 at its relaxed geometry.

Cell lengths 3.6993, 7.2211, 10.2477 Å; angles 110.61, 100.40, 90.00 degrees
Closest atoms and distances in Å follow each position.
Atoms (fractional coordinates):
Nd 0.7802 0.7802 0.5605  6 Tl 3.27-3.32
Tl 0.6249 0.8439 0.2498  1 Tm 3.10, 1 Tl 3.16, 5 Nd 3.28-3.38
Tl 0.3751 0.1561 0.7502  1 Tm 3.10, 1 Tl 3.16, 5 Nd 3.28-3.38
Nd 0.0000 0.5000 0.0000  8 Tl 3.38, 2 Nd 3.70
Tl 0.6249 0.4058 0.2498  1 Tm 3.11, 1 Tl 3.16, 5 Nd 3.27-3.38
Tl 0.3751 0.5942 0.7502  1 Tm 3.11, 1 Tl 3.16, 5 Nd 3.27-3.38
Nd 0.2198 0.2198 0.4395  6 Tl 3.27-3.32
Tm 0.5000 0.0000 0.0000  4 Tl 3.10-3.11

Output
total magnetic moment = 0.33 μB per formula unit
energy relative to the lowest polymorph listed for this composition = 139 meV/atom
energy relative to the elements = -0.234 eV/atom
final energy = -3.76 eV/atom